(1)
IrPt4Rh5 | PBE-GGA | relaxed

Geometry as POSCAR:
```
IrPt4Rh5
1.0
-2.398 0.333 -1.306
0.484 -2.275 -1.469
-8.928 -10.725 13.663
Rh Pt Ir
5 4 1
Cartesian
-5.421 -6.333 5.444
-7.208 -8.480 8.179
-3.634 -4.187 2.709
-9.027 -10.666 10.963
-1.815 -2.001 -0.075
-3.569 -4.287 5.462
-1.774 -2.131 2.715
-7.154 -8.594 10.949
-5.359 -6.438 8.201
0.000 0.000 0.000
```

Results
The calculated density comes out at 16.7 Mg/m³. Its crystal system is tetragonal.

(2)
IrPt9Rh2 | PBE-GGA | relaxed

Geometry as POSCAR:
```
IrPt9Rh2
1.0
3.942 0.000 0.000
0.000 3.942 0.000
0.000 0.000 11.828
Pt Ir Rh
9 1 2
Cartesian
1.971 0.000 1.969
0.000 1.971 5.914
1.971 0.000 9.860
1.971 0.000 5.914
0.000 1.971 1.969
1.971 1.971 7.878
0.000 1.971 9.860
1.971 1.971 0.000
1.971 1.971 3.950
0.000 0.000 0.000
0.000 0.000 3.939
0.000 0.000 7.889
```

Results
The calculated density comes out at 19.5 Mg/m³. Its crystal system is tetragonal.

| no. | formation enthalpy at 0 K (eV per atom) | electronic total energy (eV per atom) |
| --- | --- | --- |
| 1 | -0.03 | -7.009 |
| 2 | 0.01 | -6.488 |